DFT (PBE+U) results for an optimized crystal structure of Tm3MoO6.

POSCAR file:
```
Tm3MoO6
1.0
4.7084 2.7184 3.6498
-4.7084 2.7184 3.6498
0.0000 -5.4368 3.6498
Tm Mo O
6 2 12
Cartesian
-3.2627 -0.8822 5.0396
-0.8673 -3.2667 5.9098
-2.3953 2.3845 5.9098
2.3953 -2.3845 5.0396
0.8673 3.2667 5.0396
3.2627 0.8822 5.9098
0.0000 0.0000 0.0000
0.0000 0.0000 5.4747
-3.0815 -2.9473 5.9105
-4.0932 1.1950 5.0389
-1.1368 -1.5488 4.4134
1.0117 -4.1423 5.0389
-1.9097 0.2101 6.5360
-0.7729 1.7589 4.4134
0.7729 -1.7589 6.5360
1.9097 -0.2101 4.4134
-1.0117 4.1423 5.9105
1.1368 1.5488 6.5360
4.0932 -1.1950 5.9105
3.0815 2.9473 5.0389
```

Values from the calculation:
Density (Mg/m³): 8.279
Raw total energy (eV per atom): -8.208
Density of states at the Fermi level (states/eV/atom): 0.00